First-principles (GGA-PBE) data for a relaxed structure of NiBi2Sb2, as listed in Alexandria.

Summary:
uncorrected formation energy: 0.04 eV per atom
mass density: 8.6 g cm⁻³
VASP energy: -4.314 eV per atom

```
data_NiBi2Sb2
_chemical_formula_sum 'Ni2 Bi4 Sb4'
_cell_length_a 6.585
_cell_length_b 6.585
_cell_length_c 6.405
_cell_angle_alpha 90.00
_cell_angle_beta 90.00
_cell_angle_gamma 90.00
_space_group_name_H-M_alt 'P 4/m b m'
_space_group_IT_number 127
_space_group_name_Hall '-P 4 2ab'
loop_
_atom_site_label
_atom_site_fract_x
_atom_site_fract_y
_atom_site_fract_z
Ni1 0.000 0.000 0.000
Bi1 0.198 0.302 0.500
Sb1 0.157 0.343 0.000
```